# PBE Li2VB, optimized geometry
data_Li2VB
_chemical_formula_sum 'Li8 V4 B4'
_space_group_name_H-M_alt 'I -4 2 d'
_space_group_IT_number 122
_space_group_name_Hall 'I -4 2bw'
_cell_length_a 6.7737
_cell_length_b 6.7737
_cell_length_c 4.4170
_cell_angle_alpha 90.00
_cell_angle_beta 90.00
_cell_angle_gamma 90.00
loop_
_atom_site_label
_atom_site_type_symbol
_atom_site_fract_x
_atom_site_fract_y
_atom_site_fract_z
Li1 Li 0.1869 0.7500 0.1250
V1 V 0.0000 0.0000 0.5000
B1 B 0.0000 0.0000 0.0000
# Crystal system: tetragonal
# Energy of formation from the pure elements in meV per atom: 672
# Theoretical density in g/cm³: 2.5
# Size of the total moment in μB per formula unit: 2.380


# PBE MnRe, optimized geometry
data_MnRe
_chemical_formula_sum 'Mn2 Re2'
_space_group_name_H-M_alt 'P 63/m m c'
_space_group_IT_number 194
_space_group_name_Hall '-P 6c 2c'
_cell_length_a 3.7852
_cell_length_b 3.7852
_cell_length_c 4.6431
_cell_angle_alpha 90.00
_cell_angle_beta 90.00
_cell_angle_gamma 120.00
loop_
_atom_site_label
_atom_site_type_symbol
_atom_site_fract_x
_atom_site_fract_y
_atom_site_fract_z
Mn1 Mn 0.0000 0.0000 0.0000
Re1 Re 0.3333 0.6667 0.2500
# Crystal system: hexagonal
# Energy of formation from the pure elements in meV per atom: 669
# Theoretical density in g/cm³: 13.9
# Size of the total moment in μB per formula unit: 0.000


# PBE Ac2YErSe6, optimized geometry
data_Ac2YErSe6
_chemical_formula_sum 'Ac4 Y2 Er2 Se12'
_space_group_name_H-M_alt 'P 1 21/c 1'
_space_group_IT_number 14
_space_group_name_Hall '-P 2ybc'
_cell_length_a 7.1618
_cell_length_b 7.8889
_cell_length_c 12.7437
_cell_angle_alpha 90.00
_cell_angle_beta 124.08
_cell_angle_gamma 90.00
loop_
_atom_site_label
_atom_site_type_symbol
_atom_site_fract_x
_atom_site_fract_y
_atom_site_fract_z
Ac1 Ac 0.2130 0.0967 0.2496
Y1 Y 0.5000 0.0000 0.0000
Er1 Er 0.0000 0.0000 0.5000
Se1 Se 0.1125 0.1884 0.9361
Se2 Se 0.2573 0.6862 0.9362
Se3 Se 0.3791 0.0397 0.7487
# Crystal system: monoclinic
# Total DFT energy (no corrections) in eV/f.u.: -59.93
# Theoretical density in g/cm³: 6.6
# Size of the total moment in μB per formula unit: 0.000


# PBE La4CuGeBr2, optimized geometry
data_La4CuGeBr2
_chemical_formula_sum 'La4 Cu1 Ge1 Br2'
_space_group_name_H-M_alt 'P 1 2/m 1'
_space_group_IT_number 10
_space_group_name_Hall '-P 2y'
_cell_length_a 7.6025
_cell_length_b 4.3150
_cell_length_c 7.7017
_cell_angle_alpha 90.00
_cell_angle_beta 108.55
_cell_angle_gamma 90.00
loop_
_atom_site_label
_atom_site_type_symbol
_atom_site_fract_x
_atom_site_fract_y
_atom_site_fract_z
La1 La 0.2227 0.0000 0.2371
La2 La 0.2286 0.5000 0.7406
Cu1 Cu 0.0000 0.5000 0.0000
Ge1 Ge 0.0000 0.0000 0.5000
Br1 Br 0.5000 0.0000 0.0000
Br2 Br 0.5000 0.5000 0.5000
# Crystal system: monoclinic
# Total DFT energy (no corrections) in eV/f.u.: -39.37
# Theoretical density in g/cm³: 5.9
# Size of the total moment in μB per formula unit: 0.001


# PBE Cs3PdI8, optimized geometry
data_Cs3PdI8
_chemical_formula_sum 'Cs6 Pd2 I16'
_space_group_name_H-M_alt 'I 4/m m m'
_space_group_IT_number 139
_space_group_name_Hall '-I 4 2'
_cell_length_a 9.6692
_cell_length_b 9.6692
_cell_length_c 12.6703
_cell_angle_alpha 90.00
_cell_angle_beta 90.00
_cell_angle_gamma 90.00
loop_
_atom_site_label
_atom_site_type_symbol
_atom_site_fract_x
_atom_site_fract_y
_atom_site_fract_z
Cs1 Cs 0.0000 0.0000 0.0000
Cs2 Cs 0.0000 0.5000 0.2500
Pd1 Pd 0.0000 0.0000 0.5000
I1 I 0.2111 0.2111 0.3715
# Crystal system: tetragonal
# Total DFT energy (no corrections) in eV/f.u.: -27.56
# Theoretical density in g/cm³: 4.3
# Size of the total moment in μB per formula unit: 0.303


# PBE TbPm4Cu4, optimized geometry
data_TbPm4Cu4
_chemical_formula_sum 'Tb2 Pm8 Cu8'
_space_group_name_H-M_alt 'P 42/n'
_space_group_IT_number 86
_cell_length_a 8.4860
_cell_length_b 8.4860
_cell_length_c 6.3877
_cell_angle_alpha 90.00
_cell_angle_beta 90.00
_cell_angle_gamma 90.00
loop_
_space_group_symop_operation_xyz
'x,y,z'
'-x,-y,-z'
'-y,x+1/2,z+1/2'
'y,-x+1/2,-z+1/2'
'-x+1/2,-y+1/2,z'
'x+1/2,y+1/2,-z'
'y+1/2,-x,z+1/2'
'-y+1/2,x,-z+1/2'
loop_
_atom_site_label
_atom_site_type_symbol
_atom_site_fract_x
_atom_site_fract_y
_atom_site_fract_z
Tb1 Tb 0.2500 0.2500 0.2500
Pm1 Pm 0.0441 0.6607 0.1519
Cu1 Cu 0.0187 0.6274 0.5996
# Crystal system: tetragonal
# Energy of formation from the pure elements in meV per atom: -15
# Theoretical density in g/cm³: 7.2
# Size of the total moment in μB per formula unit: 0.000


# PBE PrHo2Lu, optimized geometry
data_PrHo2Lu
_chemical_formula_sum 'Pr1 Ho2 Lu1'
_space_group_name_H-M_alt 'P 4/m m m'
_space_group_IT_number 123
_space_group_name_Hall '-P 4 2'
_cell_length_a 3.5528
_cell_length_b 3.5528
_cell_length_c 10.0967
_cell_angle_alpha 90.00
_cell_angle_beta 90.00
_cell_angle_gamma 90.00
loop_
_atom_site_label
_atom_site_type_symbol
_atom_site_fract_x
_atom_site_fract_y
_atom_site_fract_z
Pr1 Pr 0.0000 0.0000 0.0000
Ho1 Ho 0.5000 0.5000 0.2583
Lu1 Lu 0.0000 0.0000 0.5000
# Crystal system: tetragonal
# Energy of formation from the pure elements in meV per atom: 33
# Theoretical density in g/cm³: 8.4
# Distance to the lowest polymorph of the same formula in meV per atom: 5
# Size of the total moment in μB per formula unit: 0.000


# PBE Y2Al3Pt4Au, optimized geometry
data_Y2Al3Pt4Au
_chemical_formula_sum 'Y2 Al3 Pt4 Au1'
_space_group_name_H-M_alt 'P -4 m 2'
_space_group_IT_number 115
_space_group_name_Hall 'P -4 -2'
_cell_length_a 4.0294
_cell_length_b 4.0294
_cell_length_c 11.6421
_cell_angle_alpha 90.00
_cell_angle_beta 90.00
_cell_angle_gamma 90.00
loop_
_atom_site_label
_atom_site_type_symbol
_atom_site_fract_x
_atom_site_fract_y
_atom_site_fract_z
Y1 Y 0.0000 0.5000 0.2440
Al1 Al 0.0000 0.0000 0.0000
Al2 Al 0.0000 0.5000 0.6262
Pt1 Pt 0.0000 0.0000 0.5000
Pt2 Pt 0.0000 0.5000 0.8351
Pt3 Pt 0.5000 0.5000 0.5000
Au1 Au 0.5000 0.5000 0.0000
# Crystal system: tetragonal
# Energy of formation from the pure elements in meV per atom: -1019
# Theoretical density in g/cm³: 10.9
# Size of the total moment in μB per formula unit: 0.000


Question: theoretical density of number 1 (Li2VB)?
Answer: 2.5 g/cm³


Question: Look up the theoretical density of the third one.
Answer: 6.6 g/cm³


Question: Which value of theoretical density does entry 4 give?
Answer: 5.9 g/cm³